The following is a SCAN calculation of Mn2HgTe at its PBEsol-relaxed geometry, from Alexandria via LeMat-Bulk.

Lattice parameters (Å, degrees): 4.387 4.387 7.650 90.00 90.00 90.00
Space group I4/mmm (No. 139)
Unique sites:
Mn: 0.000 0.500 0.250 x4
Hg: 0.000 0.000 0.000 x2
Te: 0.000 0.000 0.500 x2

Output
- energy relative to the elements, uncorrected (meV per atom) = 53
- total magnetic moment (μB per formula unit) = 8.056
- E above lowest polymorph (meV per atom) = 96

***

The following is a SCAN calculation of Mn2HgTe at its PBEsol-relaxed geometry, from Alexandria via LeMat-Bulk.

Lattice parameters (Å, degrees): 3.391 3.391 6.191 90.00 90.00 90.00
Space group P4/mmm (No. 123)
Unique sites:
Mn: 0.000 0.000 0.240 x2
Hg: 0.500 0.500 0.500 x1
Te: 0.500 0.500 0.000 x1

Output
- energy relative to the elements, uncorrected (meV per atom) = 56
- total magnetic moment (μB per formula unit) = 7.688
- E above lowest polymorph (meV per atom) = 99

***

The following is a SCAN calculation of MnTl3Hg at its PBEsol-relaxed geometry, from Alexandria via LeMat-Bulk.

Lattice parameters (Å, degrees): 5.540 5.540 5.540 90.00 90.00 90.00
Space group Pm-3m (No. 221)
Unique sites:
Mn: 0.000 0.000 0.000 x1
Tl: 0.000 0.500 0.500 x3
Hg: 0.500 0.500 0.500 x1

Output
- energy relative to the elements (eV/atom) = 0.636
- total magnetic moment (μB per formula unit) = 4.880

***

The following is a SCAN calculation of Mn2TlHg at its PBEsol-relaxed geometry, from Alexandria via LeMat-Bulk.

Lattice parameters (Å, degrees): 3.943 3.943 9.146 90.00 90.00 90.00
Space group I-4m2 (No. 119)
Unique sites:
Mn: 0.000 0.000 0.000 x2
Mn: 0.000 0.500 0.250 x2
Tl: 0.000 0.000 0.500 x2
Hg: 0.000 0.500 0.750 x2

Output
- energy relative to the elements (eV/atom) = 0.139
- total magnetic moment (μB per formula unit) = 7.583
- E above lowest polymorph (meV per atom) = 24

***

The following is a SCAN calculation of Mn2TlHg at its PBEsol-relaxed geometry, from Alexandria via LeMat-Bulk.

Lattice parameters (Å, degrees): 3.1297 3.1297 26.3767 90.00 90.00 120.00
Space group R-3m (No. 166, hexagonal axes)
Unique sites:
Mn: 0.0000 0.0000 0.2478 x6
Tl: 0.0000 0.0000 0.0000 x3
Hg: 0.0000 0.0000 0.5000 x3

Output
- energy relative to the elements (eV/atom) = 0.115
- total magnetic moment (μB per formula unit) = 8.201
- E above lowest polymorph (meV per atom) = 0

***

The following is a SCAN calculation of Mn2TlHg at its PBEsol-relaxed geometry, from Alexandria via LeMat-Bulk.

Lattice parameters (Å, degrees): 10.764 3.113 4.632 90.00 112.91 90.00
Space group Cm (No. 8)
Unique sites:
Mn: 0.000 0.000 0.000 x2
Mn: 0.222 0.500 0.261 x2
Tl: 0.235 0.000 0.772 x2
Hg: 0.466 0.000 0.464 x2

Output
- energy relative to the elements (eV/atom) = 0.121
- total magnetic moment (μB per formula unit) = 7.689
- E above lowest polymorph (meV per atom) = 6

***

The following is a SCAN calculation of MnHgW2 at its PBEsol-relaxed geometry, from Alexandria via LeMat-Bulk.

Lattice parameters (Å, degrees): 3.193 3.193 6.223 90.00 90.00 90.00
Space group P4mm (No. 99)
Unique sites:
Mn: 0.000 0.000 0.000 x1
Hg: 0.500 0.500 0.748 x1
W: 0.000 0.000 0.452 x1
W: 0.500 0.500 0.225 x1

Output
- energy relative to the elements (eV/atom) = 0.318
- total magnetic moment (μB per formula unit) = 2.985

***

The following is a SCAN calculation of MnHgW2 at its PBEsol-relaxed geometry, from Alexandria via LeMat-Bulk.

Lattice parameters (Å, degrees): 2.8010 2.8010 27.3373 90.00 90.00 120.00
Space group R-3m (No. 166, hexagonal axes)
Unique sites:
Mn: 0.0000 0.0000 0.0000 x3
Hg: 0.0000 0.0000 0.5000 x3
W: 0.0000 0.0000 0.2601 x6

Output
- energy relative to the elements (eV/atom) = 0.617
- total magnetic moment (μB per formula unit) = 1.605

***

The following is a SCAN calculation of MnHg2W at its PBEsol-relaxed geometry, from Alexandria via LeMat-Bulk.

Lattice parameters (Å, degrees): 4.113 4.113 7.956 90.00 90.00 90.00
Space group I-4m2 (No. 119)
Unique sites:
Mn: 0.000 0.000 0.000 x2
Hg: 0.000 0.000 0.500 x2
Hg: 0.000 0.500 0.750 x2
W: 0.000 0.500 0.250 x2

Output
- energy relative to the elements (eV/atom) = 0.676
- total magnetic moment (μB per formula unit) = 1.972
- E above lowest polymorph (meV per atom) = 53

***

The following is a SCAN calculation of MnHg2W at its PBEsol-relaxed geometry, from Alexandria via LeMat-Bulk.

Lattice parameters (Å, degrees): 2.998 4.775 9.546 90.00 90.00 90.00
Space group Imm2 (No. 44)
Unique sites:
Mn: 0.000 0.000 0.000 x2
Hg: 0.000 0.000 0.463 x2
Hg: 0.000 0.500 0.245 x2
W: 0.000 0.500 0.687 x2

Output
- energy relative to the elements (eV/atom) = 0.623
- total magnetic moment (μB per formula unit) = 1.991
- E above lowest polymorph (meV per atom) = 0

***

The following is a SCAN calculation of Y3MnHg at its PBEsol-relaxed geometry, from Alexandria via LeMat-Bulk.

Lattice parameters (Å, degrees): 5.065 5.065 5.065 90.00 90.00 90.00
Space group Pm-3m (No. 221)
Unique sites:
Y: 0.000 0.000 0.500 x3
Mn: 0.000 0.000 0.000 x1
Hg: 0.500 0.500 0.500 x1

Output
- energy relative to the elements (eV/atom) = 0.097
- total magnetic moment (μB per formula unit) = 1.250

***

The following is a SCAN calculation of YMnHg3 at its PBEsol-relaxed geometry, from Alexandria via LeMat-Bulk.

Lattice parameters (Å, degrees): 4.942 4.942 4.942 90.00 90.00 90.00
Space group Pm-3m (No. 221)
Unique sites:
Y: 0.000 0.000 0.000 x1
Mn: 0.500 0.500 0.500 x1
Hg: 0.000 0.500 0.500 x3

Output
- energy relative to the elements (eV/atom) = 0.011
- total magnetic moment (μB per formula unit) = 3.057

***

The following is a SCAN calculation of YMnHg at its PBEsol-relaxed geometry, from Alexandria via LeMat-Bulk.

Lattice parameters (Å, degrees): 6.495 6.495 6.495 90.00 90.00 90.00
Space group F-43m (No. 216)
Unique sites:
Y: 0.000 0.000 0.000 x4
Mn: 0.250 0.250 0.750 x4
Hg: 0.000 0.000 0.500 x4

Output
- energy relative to the elements (eV/atom) = -0.111
- total magnetic moment (μB per formula unit) = 4.409

***

The following is a SCAN calculation of YMnHg at its PBEsol-relaxed geometry, from Alexandria via LeMat-Bulk.

Lattice parameters (Å, degrees): 3.398 3.398 10.682 90.00 90.00 90.00
Space group I4mm (No. 107)
Unique sites:
Y: 0.000 0.000 0.000 x2
Mn: 0.000 0.000 0.330 x2
Hg: 0.000 0.000 0.696 x2

Output
- energy relative to the elements (eV/atom) = -0.314
- total magnetic moment (μB per formula unit) = 3.272

***

The following is a SCAN calculation of Y2MnHg at its PBEsol-relaxed geometry, from Alexandria via LeMat-Bulk.

Lattice parameters (Å, degrees): 4.642 3.576 11.286 90.00 90.00 90.00
Space group Amm2 (No. 38)
Unique sites:
Y: 0.000 0.000 0.000 x2
Y: 0.500 0.000 0.302 x2
Mn: 0.000 0.000 0.724 x2
Hg: 0.500 0.000 0.580 x2

Output
- energy relative to the elements (eV/atom) = -0.422
- total magnetic moment (μB per formula unit) = 3.250

***

The following is a SCAN calculation of Y2MnHg at its PBEsol-relaxed geometry, from Alexandria via LeMat-Bulk.

Lattice parameters (Å, degrees): 9.300 3.494 6.209 90.00 102.49 90.00
Space group C2/m (No. 12)
Unique sites:
Y: 0.248 0.000 0.243 x4
Mn: 0.000 0.500 0.000 x2
Hg: 0.000 0.000 0.500 x2

Output
- energy relative to the elements (eV/atom) = -0.141
- total magnetic moment (μB per formula unit) = 3.704

***

The following is a SCAN calculation of ZrMn2Hg at its PBEsol-relaxed geometry, from Alexandria via LeMat-Bulk.

Lattice parameters (Å, degrees): 2.900 2.900 7.261 90.00 90.00 90.00
Space group P4mm (No. 99)
Unique sites:
Zr: 0.000 0.000 0.000 x1
Mn: 0.000 0.000 0.592 x1
Mn: 0.500 0.500 0.736 x1
Hg: 0.500 0.500 0.321 x1

Output
- energy relative to the elements (eV/atom) = -0.049
- total magnetic moment (μB per formula unit) = 0.693

***

The following is a SCAN calculation of ZrMnHg at its PBEsol-relaxed geometry, from Alexandria via LeMat-Bulk.

Lattice parameters (Å, degrees): 3.408 3.408 9.273 90.00 90.00 90.00
Space group I4mm (No. 107)
Unique sites:
Zr: 0.000 0.000 0.000 x2
Mn: 0.000 0.000 0.655 x2
Hg: 0.000 0.000 0.315 x2

Output
- energy relative to the elements (eV/atom) = -0.223
- total magnetic moment (μB per formula unit) = 2.468
- E above lowest polymorph (meV per atom) = 0

***

The following is a SCAN calculation of ZrMnHg at its PBEsol-relaxed geometry, from Alexandria via LeMat-Bulk.

Lattice parameters (Å, degrees): 6.440 6.440 6.440 90.00 90.00 90.00
Space group F-43m (No. 216)
Unique sites:
Zr: 0.000 0.000 0.000 x4
Mn: 0.250 0.250 0.750 x4
Hg: 0.250 0.250 0.250 x4

Output
- energy relative to the elements (eV/atom) = 0.434
- total magnetic moment (μB per formula unit) = 4.520
- E above lowest polymorph (meV per atom) = 657

***

The following is a SCAN calculation of ZrMnHg at its PBEsol-relaxed geometry, from Alexandria via LeMat-Bulk.

Lattice parameters (Å, degrees): 3.0907 3.0907 6.8415 90.00 90.00 120.00
Space group P3m1 (No. 156)
Unique sites:
Zr: 0.0000 0.0000 0.0000 x1
Mn: 0.3333 0.6667 0.3148 x1
Hg: 0.6667 0.3333 0.6337 x1

Output
- energy relative to the elements (eV/atom) = -0.028
- total magnetic moment (μB per formula unit) = 2.992
- E above lowest polymorph (meV per atom) = 195